This record from the Alexandria database describes Mo2PtRhN at its PBEsol-relaxed geometry. The functional is meta-GGA SCAN.

The structure belongs to space group P4/mmm (No. 123); the cell edges are 3.996, 3.996 and 4.159 Å and the angles 90.00°, 90.00° and 90.00°. The inequivalent atoms are Mo at (0.000, 0.500, 0.000), Pt at (0.000, 0.000, 0.500), Rh at (0.500, 0.500, 0.500) and N at (0.000, 0.000, 0.000).

As for the total energy: -36.59 eV per atom. The value obtained for the calculated volume is 66.4 Å³ per cell. For the density of states at the Fermi level, the calculation gives 3.36 states/eV/f.u.

This record from the Alexandria database describes MoPtSe2N at its PBEsol-relaxed geometry. The functional is meta-GGA SCAN.

The structure belongs to space group P4/mmm (No. 123); the cell edges are 5.099, 5.099 and 3.602 Å and the angles 90.00°, 90.00° and 90.00°. The inequivalent atoms are Mo at (0.000, 0.000, 0.000), Pt at (0.500, 0.500, 0.500), Se at (0.000, 0.500, 0.500) and N at (0.500, 0.500, 0.000).

As for the total energy: -30.13 eV per atom. The value obtained for the calculated volume is 93.6 Å³ per cell. For the density of states at the Fermi level, the calculation gives 2.41 states/eV/f.u.

This record from the Alexandria database describes ReMo2SN at its PBEsol-relaxed geometry. The functional is meta-GGA SCAN.

The structure belongs to space group P4/mmm (No. 123); the cell edges are 4.330, 4.330 and 4.259 Å and the angles 90.00°, 90.00° and 90.00°. The inequivalent atoms are Re at (0.000, 0.000, 0.000), Mo at (0.000, 0.500, 0.500), S at (0.000, 0.000, 0.500) and N at (0.500, 0.500, 0.000).

As for the total energy: -30.05 eV per atom. The value obtained for the calculated volume is 79.8 Å³ per cell. For the density of states at the Fermi level, the calculation gives 2.40 states/eV/f.u.

This record from the Alexandria database describes MoRhN2 at its PBEsol-relaxed geometry. The functional is meta-GGA SCAN.

The structure belongs to space group R-3m (No. 166, hexagonal axes); the cell edges are 2.8501, 2.8501 and 19.0234 Å and the angles 90.00°, 90.00° and 120.00°. The inequivalent atoms are Mo at (0.0000, 0.0000, 0.0000), Rh at (0.0000, 0.0000, 0.5000) and N at (0.0000, 0.0000, 0.3981).

As for the total energy: -21.82 eV per atom. The value obtained for the calculated volume is 133.8 Å³ per cell. For the density of states at the Fermi level, the calculation gives 2.60 states/eV/f.u.

Raw formation energy, record by record: 0.014 0.775 1.912 -0.012 eV per atom